[1]
Below is crystalline KRbSi2 at its relaxed geometry, with properties calculated at the PBE level.

Unit cell a=5.645 b=5.645 c=5.645 alpha=60.00 beta=60.00 gamma=60.00
Fractional coordinates of all 4 atoms:
K 0.000 0.000 0.000
Rb 0.500 0.500 0.500
Si 0.250 0.250 0.250
Si 0.750 0.750 0.750

energy relative to the elements, uncorrected = 0.825 eV/atom
energy relative to the lowest polymorph listed for this composition = 0.087 eV/atom

[2]
Below is crystalline K3RbSi at its relaxed geometry, with properties calculated at the PBE level.

Unit cell a=7.425 b=7.425 c=7.425 alpha=90.00 beta=90.00 gamma=90.00
Fractional coordinates of all 5 atoms:
K 0.000 0.000 0.500
K 0.000 0.500 0.000
K 0.500 0.000 0.000
Rb 0.000 0.000 0.000
Si 0.500 0.500 0.500

energy relative to the elements, uncorrected = 0.895 eV/atom
energy relative to the lowest polymorph listed for this composition = 0.648 eV/atom

[3]
Below is crystalline KRb2Si2 at its relaxed geometry, with properties calculated at the PBE level.

Unit cell a=8.866 b=8.866 c=5.476 alpha=90.00 beta=90.00 gamma=90.00
Fractional coordinates of all 10 atoms:
K 0.000 0.000 0.000
K 0.500 0.500 0.000
Rb 0.181 0.319 0.500
Rb 0.319 0.819 0.500
Rb 0.681 0.181 0.500
Rb 0.819 0.681 0.500
Si 0.088 0.588 0.000
Si 0.412 0.088 0.000
Si 0.588 0.912 0.000
Si 0.912 0.412 0.000

energy relative to the elements, uncorrected = 0.179 eV/atom

[4]
Below is crystalline KRbSi2 at its relaxed geometry, with properties calculated at the PBE level.

Unit cell a=7.392 b=7.392 c=7.392 alpha=98.00 beta=98.00 gamma=136.18
Fractional coordinates of all 8 atoms:
K 0.000 0.000 0.000
K 0.750 0.250 0.500
Rb 0.250 0.750 0.500
Rb 0.500 0.500 0.000
Si 0.120 0.625 0.995
Si 0.375 0.370 0.495
Si 0.630 0.125 0.005
Si 0.875 0.880 0.505

energy relative to the elements, uncorrected = 0.738 eV/atom
energy relative to the lowest polymorph listed for this composition = 0.000 eV/atom

[5]
Below is crystalline KRbSiTe3 at its relaxed geometry, with properties calculated at the PBE level.

Unit cell a=7.669 b=7.669 c=10.003 alpha=110.45 beta=110.45 gamma=65.93
Fractional coordinates of all 12 atoms:
K 0.239 0.761 0.000
K 0.761 0.239 0.000
Rb 0.333 0.333 0.293
Rb 0.667 0.667 0.707
Si 0.012 0.012 0.387
Si 0.988 0.988 0.613
Te 0.143 0.631 0.626
Te 0.170 0.170 0.848
Te 0.369 0.857 0.374
Te 0.631 0.143 0.626
Te 0.830 0.830 0.152
Te 0.857 0.369 0.374

energy relative to the elements, uncorrected = -0.534 eV/atom

[6]
Below is crystalline KRb2SiTe4 at its relaxed geometry, with properties calculated at the PBE level.

Unit cell a=9.802 b=9.802 c=9.875 alpha=116.77 beta=116.77 gamma=89.59
Fractional coordinates of all 16 atoms:
K 0.000 0.000 0.000
K 0.000 0.000 0.500
Rb 0.000 0.500 0.000
Rb 0.500 0.000 0.500
Rb 0.500 0.500 0.000
Rb 0.500 0.500 0.500
Si 0.000 0.500 0.500
Si 0.500 0.000 0.000
Te 0.164 0.669 0.459
Te 0.179 0.305 0.486
Te 0.305 0.179 0.986
Te 0.331 0.836 0.041
Te 0.669 0.164 0.959
Te 0.695 0.821 0.014
Te 0.821 0.695 0.514
Te 0.836 0.331 0.541

energy relative to the elements, uncorrected = -0.388 eV/atom

[7]
Below is crystalline KRb2Sm at its relaxed geometry, with properties calculated at the PBE level.

Unit cell a=16.353 b=16.353 c=16.353 alpha=14.26 beta=14.26 gamma=14.26
Fractional coordinates of all 4 atoms:
K 0.000 0.000 0.000
Rb 0.420 0.420 0.420
Rb 0.580 0.580 0.580
Sm 0.500 0.500 0.500

uncorrected energy = -5.99 eV/cell

[8]
Below is crystalline K4Rb5Sn2 at its relaxed geometry, with properties calculated at the PBE level.

Unit cell a=14.003 b=14.003 c=14.003 alpha=157.65 beta=134.80 gamma=50.98
Fractional coordinates of all 11 atoms:
K 0.175 0.500 0.675
K 0.200 0.200 0.000
K 0.800 0.800 0.000
K 0.825 0.500 0.325
Rb 0.130 0.354 0.776
Rb 0.422 0.646 0.776
Rb 0.500 0.000 0.500
Rb 0.578 0.354 0.224
Rb 0.870 0.646 0.224
Sn 0.057 0.057 0.000
Sn 0.943 0.943 0.000

uncorrected energy = -16.98 eV/cell

[9]
Below is crystalline K2RbSn2 at its relaxed geometry, with properties calculated at the PBE level.

Unit cell a=8.232 b=8.232 c=8.232 alpha=138.99 beta=138.99 gamma=59.39
Fractional coordinates of all 5 atoms:
K 0.250 0.750 0.500
K 0.750 0.250 0.500
Rb 0.000 0.000 0.000
Sn 0.406 0.406 0.000
Sn 0.594 0.594 0.000

energy relative to the lowest polymorph listed for this composition = 0.050 eV/atom

[10]
Below is crystalline KRbSn3 at its relaxed geometry, with properties calculated at the PBE level.

Unit cell a=6.262 b=6.262 c=6.262 alpha=90.00 beta=90.00 gamma=90.00
Fractional coordinates of all 5 atoms:
K 0.000 0.000 0.000
Rb 0.500 0.500 0.500
Sn 0.000 0.500 0.500
Sn 0.500 0.000 0.500
Sn 0.500 0.500 0.000

energy relative to the lowest polymorph listed for this composition = 0.167 eV/atom

[11]
Below is crystalline K4Rb2Sn at its relaxed geometry, with properties calculated at the PBE level.

Unit cell a=11.938 b=11.938 c=11.938 alpha=146.50 beta=146.50 gamma=48.10
Fractional coordinates of all 7 atoms:
K 0.000 0.500 0.500
K 0.159 0.159 0.000
K 0.500 0.000 0.500
K 0.841 0.841 0.000
Rb 0.364 0.364 0.000
Rb 0.636 0.636 0.000
Sn 0.000 0.000 0.000

uncorrected energy = -10.08 eV/cell

[12]
Below is crystalline KRbSn2 at its relaxed geometry, with properties calculated at the PBE level.

Unit cell a=7.243 b=8.159 c=11.122 alpha=90.00 beta=90.00 gamma=90.00
Fractional coordinates of all 16 atoms:
K 0.151 0.250 0.135
K 0.349 0.750 0.635
K 0.651 0.250 0.365
K 0.849 0.750 0.865
Rb 0.003 0.250 0.786
Rb 0.497 0.750 0.286
Rb 0.503 0.250 0.714
Rb 0.997 0.750 0.214
Sn 0.162 0.077 0.446
Sn 0.162 0.423 0.446
Sn 0.338 0.577 0.946
Sn 0.338 0.923 0.946
Sn 0.662 0.077 0.054
Sn 0.662 0.423 0.054
Sn 0.838 0.577 0.554
Sn 0.838 0.923 0.554

energy relative to the lowest polymorph listed for this composition = 0.000 eV/atom

Record order is preserved below.
Density of states at the Fermi level: 0.22, 0.41, 0.78, 0.14, 0.73, 0.49, 1.11, 0.75, 0.79, 0.89, 1.06, 0.40 states/eV/atom